1.
Na2MnGaP after structural relaxation, computed with PBE.

Computed properties:
Calculated formation energy: 3.5 eV/f.u.

```
data_Na2MnGaP
_chemical_formula_sum 'Na2 Mn1 Ga1 P1'
_cell_length_a 5.183
_cell_length_b 4.753
_cell_length_c 5.183
_cell_angle_alpha 90.00
_cell_angle_beta 90.00
_cell_angle_gamma 90.00
_space_group_name_H-M_alt 'P 1'
_space_group_IT_number 1
_space_group_name_Hall 'P 1'
loop_
_atom_site_label
_atom_site_fract_x
_atom_site_fract_y
_atom_site_fract_z
_atom_site_occupancy
Na1 0.500 0.000 0.000 1
Na2 0.000 0.000 0.500 1
Mn1 0.000 0.500 0.000 1
P1 0.500 0.500 0.500 1
Ga1 0.000 0.000 0.000 1
```



2.
Rb2NaMnGa after structural relaxation, computed with PBE.

Computed properties:
Calculated formation energy: 2.1 eV/f.u.

```
data_Rb2NaMnGa
_chemical_formula_sum 'Rb2 Na1 Mn1 Ga1'
_cell_length_a 7.024
_cell_length_b 4.898
_cell_length_c 7.024
_cell_angle_alpha 90.00
_cell_angle_beta 90.00
_cell_angle_gamma 90.00
_space_group_name_H-M_alt 'P 1'
_space_group_IT_number 1
_space_group_name_Hall 'P 1'
loop_
_atom_site_label
_atom_site_fract_x
_atom_site_fract_y
_atom_site_fract_z
_atom_site_occupancy
Rb1 0.000 0.000 0.500 1
Rb2 0.500 0.000 0.000 1
Ga1 0.000 0.000 0.000 1
Na1 0.500 0.500 0.500 1
Mn1 0.000 0.500 0.000 1
```



3.
Na2Mn2GaS6 after structural relaxation, computed with PBE.

Computed properties:
E_form (uncorrected): -0.750 eV/atom

```
data_Na2Mn2GaS6
_chemical_formula_sum 'Na2 Mn2 Ga1 S6'
_cell_length_a 6.087
_cell_length_b 6.087
_cell_length_c 6.985
_cell_angle_alpha 98.20
_cell_angle_beta 98.20
_cell_angle_gamma 120.64
_space_group_name_H-M_alt 'P 1'
_space_group_IT_number 1
_space_group_name_Hall 'P 1'
loop_
_atom_site_label
_atom_site_fract_x
_atom_site_fract_y
_atom_site_fract_z
_atom_site_occupancy
S1 0.063 0.413 0.693 1
S2 0.413 0.063 0.693 1
S3 0.937 0.587 0.307 1
S4 0.717 0.717 0.691 1
S5 0.587 0.937 0.307 1
S6 0.283 0.283 0.309 1
Ga1 0.000 0.000 0.500 1
Mn1 0.668 0.332 0.500 1
Mn2 0.332 0.668 0.500 1
Na1 0.163 0.837 0.000 1
Na2 0.837 0.163 0.000 1
```